# 1
A relaxed structure of Ca2Cu3, computed with PBEsol.

Values from the calculation:
- energy of formation from the pure elements (meV per atom) = -62
- mass density (g cm⁻³) = 3.96
- total moment (μB/cell) = 0.00

The structure in extended XYZ format:
```
5
Lattice="4.0978 0.0000 0.0000 -2.0489 3.5488 0.0000 0.0000 0.0000 7.8136" Properties=species:S:1:pos:R:3 pbc="T T T"
Ca 0.0000 2.3659 1.6028
Ca 2.0489 1.1829 6.2108
Cu 0.0000 0.0000 3.9068
Cu 0.0000 2.3659 4.3828
Cu 2.0489 1.1829 3.4308
```


# 2
A relaxed structure of Ca3Cu, computed with PBEsol.

Values from the calculation:
- energy of formation from the pure elements (meV per atom) = 0
- mass density (g cm⁻³) = 2.53
- total moment (μB/cell) = 0.00

The structure in extended XYZ format:
```
4
Lattice="3.6069 0.0000 0.0000 0.0000 3.6069 0.0000 0.0000 0.0000 9.2859" Properties=species:S:1:pos:R:3 pbc="T T T"
Ca 0.0000 0.0000 0.0000
Ca 1.8035 1.8035 2.9634
Ca 1.8035 1.8035 6.3225
Cu 0.0000 0.0000 4.6430
```


# 3
A relaxed structure of CaCu, computed with PBEsol.

Values from the calculation:
- energy of formation from the pure elements (meV per atom) = 30
- mass density (g cm⁻³) = 3.94
- total moment (μB/cell) = 0.00

The structure in extended XYZ format:
```
4
Lattice="-1.8193 2.3026 5.2191 1.8193 -2.3026 5.2191 1.8193 2.3026 -5.2191" Properties=species:S:1:pos:R:3 pbc="T T T"
Ca 0.0000 1.1513 1.1339
Ca 1.8193 1.1513 4.0852
Cu 1.8193 1.1513 -1.8253
Cu 0.0000 1.1513 7.0445
```


# 4
A relaxed structure of Ca3Cu, computed with PBEsol.

Values from the calculation:
- energy of formation from the pure elements (meV per atom) = -38
- mass density (g cm⁻³) = 2.48
- total moment (μB/cell) = 0.00

The structure in extended XYZ format:
```
16
Lattice="7.5931 0.0000 0.0000 0.0000 9.7775 0.0000 0.0000 0.0000 6.6410" Properties=species:S:1:pos:R:3 pbc="T T T"
Ca 0.2924 2.4444 0.9664
Ca 1.3283 0.6420 4.4091
Ca 1.3283 4.2467 4.4091
Ca 2.4682 5.5308 1.0886
Ca 2.4682 9.1355 1.0886
Ca 3.5041 7.3331 4.2869
Ca 4.0889 2.4444 2.3541
Ca 5.1249 0.6420 5.5525
Ca 5.1249 4.2467 5.5525
Ca 6.2647 5.5308 2.2319
Ca 6.2647 9.1355 2.2319
Ca 7.3007 7.3331 5.6746
Cu 0.9149 7.3331 2.9862
Cu 2.8817 2.4444 6.3067
Cu 4.7114 7.3331 0.3343
Cu 6.6782 2.4444 3.6548
```


# 5
A relaxed structure of Ca2EuCu2O6, computed with PBEsol.

Values from the calculation:
- energy relative to the elements, uncorrected (eV per atom) = -2.000
- mass density (g cm⁻³) = 5.65
- total moment (μB/cell) = 13.89

The structure in extended XYZ format:
```
22
Lattice="7.4657 -3.0350 0.0000 7.4657 3.0350 0.0000 -1.6536 0.0000 5.9050" Properties=species:S:1:pos:R:3 pbc="T T T"
Ca 2.1139 1.1376 2.8050
Ca 6.6389 2.7796 2.9525
Ca 1.2871 -1.1376 5.7575
Ca 7.4657 -2.7796 0.0000
Eu 10.9774 1.1575 3.1124
Eu 11.8042 -1.1575 0.1599
Cu 4.9124 0.5899 4.4345
Cu 8.2396 0.5434 1.4912
Cu 5.7392 -0.5899 1.4820
Cu 7.4129 -0.5434 4.4436
O 8.7620 2.3084 1.6939
O 6.4452 1.1284 1.3415
O 3.9734 0.0153 1.5868
O 3.1466 -0.0153 4.5393
O 6.6960 1.1668 4.5821
O 5.6185 -1.1284 4.2940
O 9.1761 0.0841 4.3302
O 10.0029 -0.0841 1.3777
O 7.5228 -1.1668 1.6296
O 12.6974 0.6686 1.3347
O 11.8706 -0.6686 4.2872
O 7.9352 -2.3084 4.6464
```


# 6
A relaxed structure of CaEu2Cu2O6, computed with PBEsol.

Values from the calculation:
- energy relative to the elements, uncorrected (eV per atom) = -2.056
- mass density (g cm⁻³) = 6.89
- total moment (μB/cell) = 28.05

The structure in extended XYZ format:
```
22
Lattice="7.5518 -3.0653 0.0000 7.5518 3.0653 0.0000 -1.6856 0.0000 5.9004" Properties=species:S:1:pos:R:3 pbc="T T T"
Ca 6.2876 2.7858 4.4253
Ca 7.1304 -2.7858 1.4751
Eu 1.7725 1.1600 4.2514
Eu 2.6153 -1.1600 1.3012
Eu 10.8027 1.1600 4.5992
Eu 11.6455 -1.1600 1.6490
Cu 6.2960 0.5692 0.0058
Cu 7.9648 0.5692 2.9444
Cu 5.4532 -0.5692 2.9560
Cu 7.1220 -0.5692 5.8947
O 1.7861 0.7003 0.1840
O 0.9433 -0.7003 3.1342
O 6.1563 1.1742 2.7791
O 3.6320 0.0522 3.0706
O 4.4748 -0.0522 0.1204
O 8.1045 1.1742 0.1712
O 5.3135 -1.1742 5.7293
O 8.9432 0.0522 5.7801
O 9.7860 -0.0522 2.8298
O 7.2617 -1.1742 3.1214
O 12.4747 0.7003 2.7662
O 11.6320 -0.7003 5.7165
```


# 7
A relaxed structure of CaCuF5, computed with PBEsol.

Values from the calculation:
- energy relative to the elements, uncorrected (eV per atom) = -2.449
- mass density (g cm⁻³) = 3.50
- total moment (μB/cell) = 4.76

The structure in extended XYZ format:
```
28
Lattice="5.3412 0.0000 0.0000 0.0000 9.8865 0.0000 -2.6762 0.0000 7.1447" Properties=species:S:1:pos:R:3 pbc="T T T"
Ca -0.5224 0.2017 1.8398
Ca -1.8605 4.7415 5.4121
Ca 4.5254 5.1450 1.7325
Ca 3.1873 9.6848 5.3048
Cu 0.4260 2.4388 4.2562
Cu 1.7641 2.5045 0.6839
Cu 0.9009 7.3820 6.4608
Cu 2.2390 7.4477 2.8885
F -0.9843 1.2170 3.9023
F 0.3538 3.7263 0.3300
F 0.6971 1.0912 0.0566
F -0.6410 3.8521 3.6290
F 0.8445 6.2942 2.5850
F -0.4936 8.5356 6.1573
F 0.9492 2.0667 2.4097
F -0.3889 2.8766 5.9821
F -0.0595 5.9494 5.8331
F 1.2786 8.8804 2.2608
F 1.3864 1.0061 4.8838
F 2.7245 3.9372 1.3115
F 3.0539 7.0100 1.1626
F 1.7157 7.8198 4.7349
F 3.1586 1.3509 0.9873
F 1.8205 3.5923 4.5596
F 3.3059 6.0344 3.5157
F 1.9678 8.7953 7.0880
F 2.3111 6.1602 6.8147
F 3.6492 8.6696 3.2424
```


# 8
A relaxed structure of CaCuF5, computed with PBEsol.

Values from the calculation:
- energy relative to the elements, uncorrected (eV per atom) = -2.454
- mass density (g cm⁻³) = 3.43
- total moment (μB/cell) = 2.18

The structure in extended XYZ format:
```
14
Lattice="5.4485 0.0000 0.0000 1.7804 5.1499 0.0000 2.6385 1.8806 6.8587" Properties=species:S:1:pos:R:3 pbc="T T T"
Ca 1.7229 2.8034 1.7162
Ca 8.1444 4.2272 5.1425
Cu 2.7242 0.0000 0.0000
Cu 4.0435 0.9403 3.4293
F 4.1387 3.3233 6.6842
F 3.1166 2.5961 3.5834
F 4.4090 5.2627 4.2390
F 3.2190 4.1135 0.7799
F 3.1315 0.8064 1.7227
F 6.7358 6.2241 5.1360
F 6.6484 2.9171 6.0788
F 5.4583 1.7679 2.6197
F 6.7507 4.4345 3.2753
F 5.7287 3.7072 0.1745
```


# 9
A relaxed structure of CaLaFeCuO6, computed with PBEsol.

Values from the calculation:
- energy relative to the elements, uncorrected (eV per atom) = -2.061
- mass density (g cm⁻³) = 6.02
- total moment (μB/cell) = 7.66

The structure in extended XYZ format:
```
20
Lattice="5.3637 0.0000 0.0000 0.0000 5.3822 0.0000 -5.3389 0.0000 7.5357" Properties=species:S:1:pos:R:3 pbc="T T T"
Ca 0.0000 1.1120 0.0000
Ca -2.6695 4.2702 3.7679
La 0.0830 1.5016 3.7658
La -2.5865 3.8806 7.5337
Fe 2.7343 1.3455 1.8787
Fe 0.0648 4.0367 5.6466
Cu -2.6174 1.3568 5.6570
Cu 0.0521 4.0254 1.8892
O -2.2926 1.2682 3.7109
O -4.9621 4.1141 7.4788
O 2.3275 1.4017 0.0586
O -0.3419 3.9805 3.8265
O 1.2809 0.2044 2.1276
O -1.3886 5.1779 5.8954
O -1.0209 2.5416 5.9489
O 1.6486 2.8407 2.1810
O 1.1898 0.1268 5.3998
O 3.8592 5.2554 1.6320
O 4.2149 2.4435 1.5905
O 1.5454 2.9387 5.3583
```


# 10
A relaxed structure of CaMnFeCu2, computed with PBEsol.

Values from the calculation:
- energy of formation from the pure elements (meV per atom) = 1345
- mass density (g cm⁻³) = 4.76
- total moment (μB/cell) = 6.65

The structure in extended XYZ format:
```
5
Lattice="4.4790 0.0000 0.0000 0.0000 4.4790 0.0000 0.0000 0.0000 4.8364" Properties=species:S:1:pos:R:3 pbc="T T T"
Ca 0.0000 0.0000 0.0000
Mn 0.0000 0.0000 2.4182
Fe 2.2395 2.2395 0.0000
Cu 0.0000 2.2395 2.4182
Cu 2.2395 0.0000 2.4182
```


# 11
A relaxed structure of Ca2FeCuSO3, computed with PBEsol.

Values from the calculation:
- energy relative to the elements, uncorrected (eV per atom) = -1.845
- mass density (g cm⁻³) = 4.46
- total moment (μB/cell) = 7.90

The structure in extended XYZ format:
```
16
Lattice="3.7540 0.0000 0.0000 0.0000 3.7540 0.0000 0.0000 0.0000 14.7724" Properties=species:S:1:pos:R:3 pbc="T T T"
Ca 0.9385 0.9385 1.2655
Ca 0.9385 0.9385 4.6017
Ca 2.8155 2.8155 10.1706
Ca 2.8155 2.8155 13.5068
Fe 0.9385 0.9385 11.8906
Fe 2.8155 2.8155 2.8817
Cu 0.9385 2.8155 7.3862
Cu 2.8155 0.9385 7.3862
S 0.9385 0.9385 8.8288
S 2.8155 2.8155 5.9436
O 0.9385 0.9385 13.8177
O 0.9385 2.8155 3.1361
O 0.9385 2.8155 11.6363
O 2.8155 0.9385 3.1361
O 2.8155 0.9385 11.6363
O 2.8155 2.8155 0.9546
```


# 12
A relaxed structure of CaFe2CuW, computed with PBEsol.

Values from the calculation:
- energy of formation from the pure elements (meV per atom) = 2244
- mass density (g cm⁻³) = 8.30
- total moment (μB/cell) = 5.24

The structure in extended XYZ format:
```
5
Lattice="4.2809 0.0000 0.0000 0.0000 4.2809 0.0000 0.0000 0.0000 4.3587" Properties=species:S:1:pos:R:3 pbc="T T T"
Ca 0.0000 0.0000 0.0000
Fe 0.0000 2.1405 0.0000
Fe 2.1405 0.0000 0.0000
Cu 0.0000 0.0000 2.1793
W 2.1405 2.1405 2.1793
```


# 13
A relaxed structure of CaGa2Cu2, computed with PBEsol.

Values from the calculation:
- energy of formation from the pure elements (meV per atom) = -314
- mass density (g cm⁻³) = 5.91
- total moment (μB/cell) = 0.00

The structure in extended XYZ format:
```
5
Lattice="-2.0822 2.0822 4.9703 2.0822 -2.0822 4.9703 2.0822 2.0822 -4.9703" Properties=species:S:1:pos:R:3 pbc="T T T"
Ca 0.0000 0.0000 0.0000
Ga 0.0000 0.0000 3.7037
Ga 0.0000 0.0000 6.2369
Cu 2.0822 0.0000 2.4852
Cu 0.0000 2.0822 2.4852
```


# 14
A relaxed structure of Ca2LaGaCu2O7, computed with PBEsol.

Values from the calculation:
- energy relative to the elements, uncorrected (eV per atom) = -2.146
- mass density (g cm⁻³) = 5.37
- total moment (μB/cell) = 0.00

The structure in extended XYZ format:
```
26
Lattice="-10.9834 2.7647 2.6857 10.9834 -2.7647 2.6857 10.9834 2.7647 -2.6857" Properties=species:S:1:pos:R:3 pbc="T T T"
Ca 3.3834 0.2066 0.0000
Ca 7.6000 0.2066 0.0000
Ca 3.3834 2.5580 2.6857
Ca 7.6000 2.5580 2.6857
La 0.0000 2.7647 2.5781
La 0.0000 0.0000 5.2638
Ga 5.4917 -0.3912 2.7862
Ga 5.4917 3.1558 0.1005
Cu 1.7885 -0.0163 2.5832
Cu 9.1949 -0.0163 2.5832
Cu 1.7885 2.7809 -0.1024
Cu 9.1949 2.7809 -0.1024
O 3.9260 2.3825 -0.3955
O 7.0575 2.3825 -0.3955
O -1.6494 1.3646 1.2193
O 12.6328 1.3646 1.2193
O 1.5480 1.4089 1.2513
O 9.4354 1.4089 1.2513
O 3.9260 0.3821 2.2902
O 7.0575 0.3821 2.2902
O -5.4917 2.1294 1.9985
O -1.5480 4.1204 1.2513
O 1.5480 1.3557 3.9369
O 1.6494 4.1647 1.2193
O -1.6494 1.4000 3.9050
O 5.4917 3.3999 1.9985
```


# 15
A relaxed structure of CaLaGaCuO5, computed with PBEsol.

Values from the calculation:
- energy relative to the elements, uncorrected (eV per atom) = -2.301
- mass density (g cm⁻³) = 5.65
- total moment (μB/cell) = 0.00

The structure in extended XYZ format:
```
18
Lattice="3.7953 -7.9921 0.0000 3.7953 7.9921 0.0000 -3.6254 0.0000 3.8016" Properties=species:S:1:pos:R:3 pbc="T T T"
Ca 3.7953 5.7360 0.0000
Ca 3.7953 -5.7360 0.0000
La -0.0372 2.3466 3.6477
La -0.0372 -2.3466 3.6477
Ga 2.2175 0.0000 1.9687
Ga 5.5332 0.0000 1.4636
Cu 1.8508 4.0094 1.8297
Cu 1.8508 -4.0094 1.8297
O 1.9210 6.3854 2.2841
O 1.4059 1.6069 1.7237
O 3.7433 3.8708 1.8210
O 1.9715 3.8544 3.7355
O 1.4059 -1.6069 1.7237
O 3.7354 0.0000 0.7773
O 2.9861 0.0000 3.7005
O 1.9210 -6.3854 2.2841
O 3.7433 -3.8708 1.8210
O 1.9715 -3.8544 3.7355
```


# 16
A relaxed structure of Ca2LaGaCu2O7, computed with PBEsol.

Values from the calculation:
- energy relative to the elements, uncorrected (eV per atom) = -2.151
- mass density (g cm⁻³) = 5.40
- total moment (μB/cell) = 0.00

The structure in extended XYZ format:
```
26
Lattice="5.3382 0.0000 0.0000 0.0081 5.4842 0.0000 2.6154 2.5802 11.0871" Properties=species:S:1:pos:R:3 pbc="T T T"
Ca 0.0000 0.0000 0.0000
Ca 2.6818 2.4001 7.8910
Ca 2.6718 2.3757 0.0245
Ca 5.3313 5.4500 4.3669
La 2.7182 2.4204 4.4693
La 5.3909 5.1915 7.7867
Ga 2.5448 4.9352 2.1609
Ga 5.2369 2.9293 2.1686
Cu 2.7090 5.1655 9.5139
Cu 2.7486 5.2184 6.1022
Cu 5.3668 2.4066 9.5060
Cu 5.4119 2.5079 6.1250
O 1.5265 3.7500 6.2037
O 0.6591 4.6698 2.2122
O 0.4027 2.1657 0.6186
O 4.0168 3.7537 9.2545
O 4.0697 6.5039 9.4585
O 2.9934 5.6231 3.7982
O 3.9921 6.7110 6.2476
O 4.1794 3.9576 5.9518
O 3.3305 3.1842 2.1781
O 3.0527 0.2079 0.6155
O 6.6869 3.8183 9.3215
O 6.7392 6.5518 9.4182
O 5.6168 2.1870 3.8020
O 6.6846 6.5282 6.1777
```


# 17
A relaxed structure of Ca2PrGaCu2O7, computed with PBEsol.

Values from the calculation:
- energy relative to the elements, uncorrected (eV per atom) = -2.123
- mass density (g cm⁻³) = 5.43
- total moment (μB/cell) = 0.00

The structure in extended XYZ format:
```
26
Lattice="-10.9665 2.7578 2.6804 10.9665 -2.7578 2.6804 10.9665 2.7578 -2.6804" Properties=species:S:1:pos:R:3 pbc="T T T"
Ca 3.3712 0.2077 0.0000
Ca 7.5952 0.2077 0.0000
Ca 3.3712 2.5501 2.6804
Ca 7.5952 2.5501 2.6804
Pr 0.0000 0.0000 0.1088
Pr 10.9665 0.0000 0.1088
Ga 5.4832 -0.3903 2.5782
Ga 5.4832 3.1481 -0.1023
Cu 1.7588 -0.0155 2.7838
Cu 9.2077 -0.0155 2.7838
Cu 1.7588 2.7733 0.1033
Cu 9.2077 2.7733 0.1033
O 5.4832 -0.6267 0.6791
O 12.5793 1.3573 -1.2119
O 9.3536 -1.4006 1.4686
O 9.4369 1.4064 -1.2501
O 12.4960 -1.3515 1.4303
O 16.4497 0.6267 0.6791
O 3.9129 2.3834 0.3926
O 7.0535 2.3834 0.3926
O 1.5296 1.3515 1.4303
O 9.4369 1.3515 1.4303
O -1.6128 1.4006 1.4686
O 12.5793 1.4006 1.4686
O 3.9129 0.3745 3.0731
O 7.0535 0.3745 3.0731
```